Below is an optimized crystal structure of LiTaBeN3, with properties calculated at the PBE level.

Lattice parameters (Å, degrees): 6.036 3.072 7.568 90.00 104.14 90.00
Space group P2_1/m (No. 11)
Inequivalent atoms, fractional coordinates:
Li1 0.158 0.250 0.137 (multiplicity 2)
Ta1 0.336 0.750 0.831 (multiplicity 2)
Be1 0.059 0.250 0.600 (multiplicity 2)
N1 0.099 0.250 0.837 (multiplicity 2)
N2 0.185 0.750 0.563 (multiplicity 2)
N3 0.423 0.750 0.132 (multiplicity 2)

Summary:
For the electronic total energy, the calculation gives -7.7390 eV/atom.